Compound: AcGa11Os
Source: the Alexandria database
Functional: PBE-GGA
Structure: optimized geometry

a b c (Å): 5.232 7.948 6.804
angles (deg): 82.82 67.39 71.03
Atoms (fractional coordinates):
Ga1 0.500 0.000 0.500
Ga2 0.027 0.630 0.350
Ga3 0.623 0.370 0.350
Ga4 0.000 0.500 0.000
Ga5 0.973 0.370 0.650
Ga6 0.000 0.000 0.500
Ga7 0.730 0.761 0.777
Ac1 0.000 0.000 0.000
Ga8 0.507 0.761 0.223
Os1 0.500 0.500 0.000
Ga9 0.377 0.630 0.650
Ga10 0.270 0.239 0.223
Ga11 0.493 0.239 0.777



Compound: Ac2Ga5Os
Source: the Alexandria database
Functional: PBE-GGA
Structure: optimized geometry

a b c (Å): 6.587 6.587 6.587
angles (deg): 84.66 123.13 123.13
Atoms (fractional coordinates):
Ac1 0.500 0.738 0.238
Ga1 0.567 0.269 0.269
Ga2 0.000 0.280 0.280
Ga3 0.000 0.269 0.703
Ac2 0.500 0.238 0.738
Os1 0.000 0.022 0.022
Ga4 0.433 0.703 0.703
Ga5 0.000 0.703 0.269



Compound: Ac8GaOs2
Source: the Alexandria database
Functional: PBE-GGA
Structure: optimized geometry

a b c (Å): 6.621 8.281 8.281
angles (deg): 113.29 98.80 98.80
Atoms (fractional coordinates):
Ac1 0.199 0.380 0.380
Os1 0.483 0.696 0.310
Ac2 0.378 0.928 0.657
Ac3 0.987 0.772 0.221
Ga1 0.153 0.007 0.007
Os2 0.483 0.310 0.696
Ac4 0.785 0.638 0.638
Ac5 0.987 0.221 0.772
Ac6 0.582 0.078 0.347
Ac7 0.582 0.347 0.078
Ac8 0.378 0.657 0.928



Compound: Ac2Ga6Os
Source: the Alexandria database
Functional: PBE-GGA
Structure: optimized geometry

a b c (Å): 4.211 9.284 7.127
angles (deg): 130.64 90.00 90.00
Atoms (fractional coordinates):
Ga1 0.000 0.106 0.734
Ga2 0.500 0.824 0.000
Ac1 0.500 0.269 0.537
Ac2 0.500 0.731 0.463
Ga3 0.000 0.894 0.266
Os1 0.000 0.000 0.000
Ga4 0.500 0.176 0.000
Ga5 0.000 0.629 0.734
Ga6 0.000 0.371 0.266



Compound: AcGa3Os
Source: the Alexandria database
Functional: PBE-GGA
Structure: optimized geometry

a b c (Å): 4.838 4.838 4.838
angles (deg): 90.00 90.00 90.00
Atoms (fractional coordinates):
Ac1 0.500 0.500 0.500
Ga1 0.000 0.000 0.500
Ga2 0.000 0.500 0.000
Os1 0.000 0.000 0.000
Ga3 0.500 0.000 0.000



Compound: Ac2GaOs
Source: the Alexandria database
Functional: PBE-GGA
Structure: optimized geometry

a b c (Å): 3.537 3.537 10.938
angles (deg): 80.70 80.70 60.00
Atoms (fractional coordinates):
Os1 0.000 0.000 0.000
Ac1 0.916 0.916 0.252
Ga1 0.500 0.500 0.500
Ac2 0.084 0.084 0.748



Computed calculated formation energy, in the same sequence as the records: -0.150 -0.325 -0.009 -0.348 -0.338 0.818 eV per atom.